Density functional theory data (PBE-GGA) for an optimized crystal structure of BeCdFeW.

Cell and atoms, written as CIF:
```
data_BeCdFeW
_chemical_formula_sum 'Be4 Cd4 Fe4 W4'
_space_group_name_H-M_alt 'F -4 3 m'
_space_group_IT_number 216
_space_group_name_Hall 'F -4 2 3'
_cell_length_a 5.973
_cell_length_b 5.973
_cell_length_c 5.973
_cell_angle_alpha 90.00
_cell_angle_beta 90.00
_cell_angle_gamma 90.00
loop_
_atom_site_label
_atom_site_type_symbol
_atom_site_fract_x
_atom_site_fract_y
_atom_site_fract_z
_atom_site_occupancy
Be1 Be 0.000 0.000 0.000 1
Cd1 Cd 0.250 0.250 0.250 1
Fe1 Fe 0.000 0.000 0.500 1
W1 W 0.250 0.250 0.750 1
```

Calculated values
Energy above the lowest structure with this stoichiometry, meV per atom: 0
Electronic total energy, eV per atom: -6.08